The following is a PBE+U calculation of a relaxed structure of AlNiGe2O6, from the Alexandria database. Values from VASP.

Mass density = 4.12 Mg/m³
D(E_F) = 0.00 states/eV per atom
Final energy = -6.25 eV/atom
Symmetry = No. 15

Cell and atoms, written as Quantum ESPRESSO input:
```
&SYSTEM
  ibrav = 0, nat = 20, ntyp = 4
/
ATOMIC_SPECIES
Al 26.98 Al.upf
Ni 58.69 Ni.upf
Ge 72.64 Ge.upf
O 16.00 O.upf
ATOMIC_POSITIONS crystal
Al 0.207 0.793 0.750
Al 0.793 0.207 0.250
Ni 0.097 0.903 0.250
Ni 0.903 0.097 0.750
Ge 0.220 0.389 0.292
Ge 0.389 0.220 0.792
Ge 0.611 0.780 0.208
Ge 0.780 0.611 0.708
O 0.010 0.218 0.160
O 0.174 0.615 0.442
O 0.218 0.010 0.660
O 0.300 0.398 0.009
O 0.385 0.826 0.058
O 0.398 0.300 0.509
O 0.602 0.700 0.491
O 0.615 0.174 0.942
O 0.700 0.602 0.991
O 0.782 0.990 0.340
O 0.826 0.385 0.558
O 0.990 0.782 0.840
CELL_PARAMETERS angstrom
5.068 -5.325 0.000
5.068 5.325 0.000
-2.098 0.000 4.888
```